Density functional theory data (PBE-GGA) for an optimized crystal structure of Tb3SmAs4.

```
Tb3SmAs4
1.0
-0.573 -4.109 -0.304
6.824 -0.792 -2.158
-0.320 -0.486 7.177
As Sm Tb
4 1 3
Direct
0.500 0.252 0.748
0.000 0.747 0.747
0.000 0.253 0.253
0.500 0.748 0.252
0.500 0.000 0.000
0.500 0.500 0.500
0.000 0.000 0.500
0.000 0.500 0.000
```

V = 25.42 A^3/atom
SG = Cmmm, No. 65
VASP energy = -49.50 eV for the cell shown
ΔH_f (0 K) = -12.296 eV per formula unit
Crystal system = orthorhombic